Entry w
Computed, not measured: crystalline InPbNF2 at its relaxed geometry at the PBE-GGA level of DFT. Values from VASP.

Size of the total moment   0.00 μB/f.u.
Symmetry   P4/mmm

Structure (Quantum ESPRESSO input):
```
&SYSTEM
  ibrav = 0, nat = 5, ntyp = 4
/
ATOMIC_SPECIES
In 114.82 In.upf
Pb 207.20 Pb.upf
N 14.01 N.upf
F 19.00 F.upf
ATOMIC_POSITIONS angstrom
In 0.000 0.000 0.000
Pb 2.188 2.188 2.105
N 0.000 0.000 2.105
F 0.000 2.188 0.000
F 2.188 0.000 0.000
CELL_PARAMETERS angstrom
4.377 0.000 0.000
0.000 4.377 0.000
0.000 0.000 4.210
```

---

Entry x
Computed, not measured: crystalline InPbNF2 at its relaxed geometry at the PBE-GGA level of DFT. Values from VASP.

Size of the total moment   0.88 μB/f.u.
Symmetry   P4/mmm

Structure (Quantum ESPRESSO input):
```
&SYSTEM
  ibrav = 0, nat = 5, ntyp = 4
/
ATOMIC_SPECIES
In 114.82 In.upf
Pb 207.20 Pb.upf
N 14.01 N.upf
F 19.00 F.upf
ATOMIC_POSITIONS angstrom
In 0.000 0.000 0.000
Pb 2.332 2.332 2.245
N 2.332 2.332 0.000
F 0.000 2.332 2.245
F 2.332 0.000 2.245
CELL_PARAMETERS angstrom
4.664 0.000 0.000
0.000 4.664 0.000
0.000 0.000 4.490
```

---

Order of stability, best first: entry w, entry x